# Ba5Mg4In4 (PBE-GGA, optimized geometry)
# energy of formation from the pure elements: -6.3 kcal/mol of atoms
# SG: I4/m (87)
data_Ba5Mg4In4
_chemical_formula_sum 'Ba5 Mg4 In4'
_cell_length_a 9.879
_cell_length_b 9.879
_cell_length_c 9.879
_cell_angle_alpha 93.82
_cell_angle_beta 93.82
_cell_angle_gamma 150.10
_space_group_name_H-M_alt 'P 1'
_space_group_IT_number 1
_space_group_name_Hall 'P 1'
loop_
_atom_site_label
_atom_site_fract_x
_atom_site_fract_y
_atom_site_fract_z
_atom_site_occupancy
Ba1 0.000 0.000 0.000 1
Ba2 0.293 0.640 0.934 1
Ba3 0.360 0.293 0.653 1
Ba4 0.640 0.707 0.347 1
Ba5 0.707 0.360 0.066 1
Mg1 0.103 0.437 0.540 1
Mg2 0.437 0.897 0.335 1
Mg3 0.563 0.103 0.665 1
Mg4 0.897 0.563 0.460 1
In1 0.046 0.729 0.775 1
In2 0.271 0.046 0.316 1
In3 0.729 0.954 0.684 1
In4 0.954 0.271 0.225 1

---

# BaMg5In7 (PBE-GGA, optimized geometry)
# energy of formation from the pure elements: -4.0 kcal/mol of atoms
# SG: Imm2 (44)
data_BaMg5In7
_chemical_formula_sum 'Ba1 Mg5 In7'
_cell_length_a 7.968
_cell_length_b 7.968
_cell_length_c 7.968
_cell_angle_alpha 133.42
_cell_angle_beta 98.20
_cell_angle_gamma 99.79
_space_group_name_H-M_alt 'P 1'
_space_group_IT_number 1
_space_group_name_Hall 'P 1'
loop_
_atom_site_label
_atom_site_fract_x
_atom_site_fract_y
_atom_site_fract_z
_atom_site_occupancy
Ba1 0.000 0.000 0.000 1
Mg1 0.495 0.498 0.500 1
Mg2 0.495 0.995 0.997 1
Mg3 0.766 0.266 0.500 1
Mg4 0.999 0.498 0.003 1
Mg5 0.999 0.995 0.500 1
In1 0.199 0.492 0.707 1
In2 0.221 0.721 0.500 1
In3 0.350 0.001 0.349 1
In4 0.351 0.351 0.000 1
In5 0.652 0.001 0.651 1
In6 0.652 0.652 0.000 1
In7 0.785 0.492 0.293 1

---

# BaMgIn (PBE-GGA, optimized geometry)
# energy of formation from the pure elements: -7.0 kcal/mol of atoms
# SG: C2/m (12)
data_BaMgIn
_chemical_formula_sum 'Ba2 Mg2 In2'
_cell_length_a 6.684
_cell_length_b 6.684
_cell_length_c 8.695
_cell_angle_alpha 129.62
_cell_angle_beta 129.62
_cell_angle_gamma 47.14
_space_group_name_H-M_alt 'P 1'
_space_group_IT_number 1
_space_group_name_Hall 'P 1'
loop_
_atom_site_label
_atom_site_fract_x
_atom_site_fract_y
_atom_site_fract_z
_atom_site_occupancy
Ba1 0.049 0.049 0.302 1
Ba2 0.951 0.951 0.698 1
Mg1 0.330 0.330 0.254 1
Mg2 0.670 0.670 0.746 1
In1 0.339 0.339 0.895 1
In2 0.661 0.661 0.105 1

---

Number 1: density 4.4 g/cm³, V 464.3 Å³/f.u.. Number 2: density 5.2 g/cm³, V 337.5 Å³/f.u.. Number 3: density 4.5 g/cm³, V 102.3 Å³/f.u..